Run w
DFT (PBE) results for a relaxed structure of HfHgPO.

```
HfHgPO
1.0
3.693 0.000 0.000
0.000 3.693 0.000
0.000 0.000 10.200
Hf Hg P O
2 2 2 2
Cartesian
0.923 0.923 1.197
2.770 2.770 9.003
0.923 2.770 5.100
2.770 0.923 5.100
0.923 0.923 7.774
2.770 2.770 2.425
0.923 2.770 0.000
2.770 0.923 0.000
```

Properties
Total magnetization in Bohr magnetons per cell: 1.04
SG: P4/nmm

---

Run x
DFT (PBE) results for a relaxed structure of HfHgPO.

```
HfHgPO
1.0
3.996 0.000 0.000
0.000 8.617 0.000
0.000 0.000 5.580
Hf Hg P O
2 2 2 2
Cartesian
0.000 1.240 0.000
0.000 7.377 2.790
1.998 2.916 2.362
1.998 5.701 5.152
1.998 2.735 5.079
1.998 5.882 2.289
0.000 0.353 1.713
0.000 8.264 4.503
```

Properties
Total magnetization in Bohr magnetons per cell: 0.00
SG: Pmc2_1

---

Run y
DFT (PBE) results for a relaxed structure of HfHgPO.

```
HfHgPO
1.0
5.343 0.000 0.000
0.000 5.343 0.000
0.000 0.000 4.696
Hf Hg P O
2 2 2 2
Cartesian
1.336 4.007 0.000
4.007 1.336 0.000
1.336 1.336 1.917
4.007 4.007 2.779
1.336 1.336 4.252
4.007 4.007 0.444
1.336 4.007 2.348
4.007 1.336 2.348
```

Properties
Total magnetization in Bohr magnetons per cell: 0.00
SG: P4/nmm

---

Run z
DFT (PBE) results for a relaxed structure of HfHgPO.

```
HfHgPO
1.0
4.026 0.000 0.000
0.000 6.913 0.000
0.000 0.000 5.392
Hf Hg P O
2 2 2 2
Cartesian
0.000 1.226 0.000
0.000 5.687 2.696
2.013 2.866 2.692
2.013 4.047 5.388
0.000 1.350 2.701
0.000 5.563 0.005
2.013 1.154 0.016
2.013 5.759 2.712
```

Properties
Total magnetization in Bohr magnetons per cell: 0.01
SG: Pmc2_1

---

Stability verdict: run x, ahead by 159 meV per atom

---

Run w
DFT (PBE) results for a relaxed structure of HfHgOs.

```
HfHgOs
1.0
6.388 0.000 0.000
0.000 6.388 0.000
0.000 0.000 6.388
Hf Hg Os
4 4 4
Cartesian
0.000 0.000 0.000
0.000 3.194 3.194
3.194 0.000 3.194
3.194 3.194 0.000
0.000 0.000 3.194
0.000 3.194 0.000
3.194 0.000 0.000
3.194 3.194 3.194
1.597 1.597 1.597
1.597 4.791 4.791
4.791 1.597 4.791
4.791 4.791 1.597
```

Properties
Total magnetization in Bohr magnetons per cell: 0.01
SG: F-43m

---

Run x
DFT (PBE) results for a relaxed structure of HfHgOs.

```
HfHgOs
1.0
6.391 0.000 0.000
0.000 6.391 0.000
0.000 0.000 6.391
Hf Hg Os
4 4 4
Cartesian
0.000 0.000 0.000
0.000 3.196 3.196
3.196 0.000 3.196
3.196 3.196 0.000
1.598 1.598 4.794
1.598 4.794 1.598
4.794 1.598 1.598
4.794 4.794 4.794
1.598 1.598 1.598
1.598 4.794 4.794
4.794 1.598 4.794
4.794 4.794 1.598
```

Properties
Total magnetization in Bohr magnetons per cell: 0.00
SG: F-43m

---

Stability verdict: run w, ahead by 248 meV per atom

---

Run w
DFT (PBE) results for a relaxed structure of HfTlHg3S4.

```
HfTlHg3S4
1.0
6.800 0.000 0.000
0.000 6.800 0.000
0.000 0.000 6.800
Hf Tl Hg S
1 1 3 4
Cartesian
0.000 0.000 0.000
3.400 3.400 3.400
0.000 0.000 3.400
0.000 3.400 0.000
3.400 0.000 0.000
1.401 1.401 5.399
1.401 5.399 1.401
5.399 1.401 1.401
5.399 5.399 5.399
```

Properties
Total magnetization in Bohr magnetons per cell: 0.00
SG: P-43m

---

Run x
DFT (PBE) results for a relaxed structure of HfTlHg3S4.

```
HfTlHg3S4
1.0
7.174 0.000 0.000
0.000 7.630 0.000
-3.270 0.000 9.820
Hf Tl Hg S
2 2 6 8
Cartesian
-0.698 1.908 2.428
4.601 5.723 7.391
-1.605 1.908 9.045
5.508 5.723 0.774
0.598 4.114 4.525
0.598 7.332 4.525
1.036 5.723 6.850
2.867 1.908 2.969
3.305 0.299 5.295
3.305 3.517 5.295
-1.014 1.908 4.835
0.680 0.037 1.861
0.680 3.778 1.861
-0.581 5.723 8.741
4.485 1.908 1.079
3.224 3.853 7.959
3.224 7.593 7.959
4.917 5.723 4.985
```

Properties
Total magnetization in Bohr magnetons per cell: 0.00
SG: P2_1/m

---

Stability verdict: run x, ahead by 151 meV per atom

---

Run w
DFT (PBE) results for a relaxed structure of HfHgSb.

```
HfHgSb
1.0
6.873 0.000 0.000
0.000 6.873 0.000
0.000 0.000 6.873
Hf Hg Sb
4 4 4
Cartesian
0.000 0.000 0.000
0.000 3.437 3.437
3.437 0.000 3.437
3.437 3.437 0.000
0.000 0.000 3.437
0.000 3.437 0.000
3.437 0.000 0.000
3.437 3.437 3.437
1.718 1.718 5.155
1.718 5.155 1.718
5.155 1.718 1.718
5.155 5.155 5.155
```

Properties
Total magnetization in Bohr magnetons per cell: 1.19
SG: F-43m

---

Run x
DFT (PBE) results for a relaxed structure of HfHgSb.

```
HfHgSb
1.0
6.856 0.000 0.000
0.000 6.856 0.000
0.000 0.000 6.856
Hf Hg Sb
4 4 4
Cartesian
0.000 0.000 0.000
0.000 3.428 3.428
3.428 0.000 3.428
3.428 3.428 0.000
1.714 1.714 5.142
1.714 5.142 1.714
5.142 1.714 1.714
5.142 5.142 5.142
1.714 1.714 1.714
1.714 5.142 5.142
5.142 1.714 5.142
5.142 5.142 1.714
```

Properties
Total magnetization in Bohr magnetons per cell: 0.34
SG: F-43m

---

Stability verdict: run x, ahead by 317 meV per atom

---

Run w
DFT (PBE) results for a relaxed structure of HfSiHg.

```
HfSiHg
1.0
6.523 0.000 0.000
0.000 6.523 0.000
0.000 0.000 6.523
Hf Si Hg
4 4 4
Cartesian
0.000 0.000 0.000
0.000 3.261 3.261
3.261 0.000 3.261
3.261 3.261 0.000
1.631 1.631 1.631
1.631 4.892 4.892
4.892 1.631 4.892
4.892 4.892 1.631
1.631 1.631 4.892
1.631 4.892 1.631
4.892 1.631 1.631
4.892 4.892 4.892
```

Properties
Total magnetization in Bohr magnetons per cell: 0.00
SG: F-43m

---

Run x
DFT (PBE) results for a relaxed structure of HfSiHg.

```
HfSiHg
1.0
6.297 0.000 0.000
0.000 6.297 0.000
0.000 0.000 6.297
Hf Si Hg
4 4 4
Cartesian
0.000 0.000 0.000
0.000 3.148 3.148
3.148 0.000 3.148
3.148 3.148 0.000
1.574 1.574 1.574
1.574 4.723 4.723
4.723 1.574 4.723
4.723 4.723 1.574
0.000 0.000 3.148
0.000 3.148 0.000
3.148 0.000 0.000
3.148 3.148 3.148
```

Properties
Total magnetization in Bohr magnetons per cell: 0.03
SG: F-43m

---

Stability verdict: run x, ahead by 15 meV per atom

---

Run w
DFT (PBE) results for a relaxed structure of HfSnHg.

```
HfSnHg
1.0
6.749 0.000 0.000
0.000 6.749 0.000
0.000 0.000 6.749
Hf Sn Hg
4 4 4
Cartesian
0.000 0.000 0.000
0.000 3.374 3.374
3.374 0.000 3.374
3.374 3.374 0.000
0.000 0.000 3.374
0.000 3.374 0.000
3.374 0.000 0.000
3.374 3.374 3.374
1.687 1.687 1.687
1.687 5.062 5.062
5.062 1.687 5.062
5.062 5.062 1.687
```

Properties
Total magnetization in Bohr magnetons per cell: 0.01
SG: F-43m

---

Run x
DFT (PBE) results for a relaxed structure of HfSnHg.

```
HfSnHg
1.0
6.835 0.000 0.000
0.000 6.835 0.000
0.000 0.000 6.835
Hf Sn Hg
4 4 4
Cartesian
0.000 0.000 0.000
0.000 3.417 3.417
3.417 0.000 3.417
3.417 3.417 0.000
1.709 1.709 1.709
1.709 5.126 5.126
5.126 1.709 5.126
5.126 5.126 1.709
1.709 1.709 5.126
1.709 5.126 1.709
5.126 1.709 1.709
5.126 5.126 5.126
```

Properties
Total magnetization in Bohr magnetons per cell: 0.00
SG: F-43m

---

Stability verdict: run x, ahead by 284 meV per atom

---

Run w
DFT (PBE) results for a relaxed structure of Hf2Sn2Hg.

```
Hf2Sn2Hg
1.0
4.804 0.000 0.000
0.000 4.804 0.000
0.000 0.000 11.855
Hf Sn Hg
4 4 2
Cartesian
0.000 2.402 2.964
0.000 2.402 8.891
2.402 0.000 2.964
2.402 0.000 8.891
0.000 0.000 1.374
0.000 0.000 10.481
2.402 2.402 4.554
2.402 2.402 7.301
0.000 0.000 5.927
2.402 2.402 0.000
```

Properties
Total magnetization in Bohr magnetons per cell: 0.02
SG: I4/mmm

---

Run x
DFT (PBE) results for a relaxed structure of Hf2Sn2Hg.

```
Hf2Sn2Hg
1.0
4.087 0.000 0.000
0.000 4.087 0.000
0.000 0.000 14.496
Hf Sn Hg
4 4 2
Cartesian
0.000 0.000 1.421
0.000 0.000 13.075
2.043 2.043 5.827
2.043 2.043 8.669
0.000 2.043 3.624
0.000 2.043 10.872
2.043 0.000 3.624
2.043 0.000 10.872
0.000 0.000 7.248
2.043 2.043 0.000
```

Properties
Total magnetization in Bohr magnetons per cell: 0.13
SG: I4/mmm

---

Stability verdict: run x, ahead by 103 meV per atom

---

Run w
DFT (PBE) results for a relaxed structure of HfTcHg.

```
HfTcHg
1.0
6.404 0.000 0.000
0.000 6.404 0.000
0.000 0.000 6.404
Hf Tc Hg
4 4 4
Cartesian
0.000 0.000 0.000
0.000 3.202 3.202
3.202 0.000 3.202
3.202 3.202 0.000
1.601 1.601 1.601
1.601 4.803 4.803
4.803 1.601 4.803
4.803 4.803 1.601
0.000 0.000 3.202
0.000 3.202 0.000
3.202 0.000 0.000
3.202 3.202 3.202
```

Properties
Total magnetization in Bohr magnetons per cell: 2.20
SG: F-43m

---

Run x
DFT (PBE) results for a relaxed structure of HfTcHg.

```
HfTcHg
1.0
6.396 0.000 0.000
0.000 6.396 0.000
0.000 0.000 6.396
Hf Tc Hg
4 4 4
Cartesian
0.000 0.000 0.000
0.000 3.198 3.198
3.198 0.000 3.198
3.198 3.198 0.000
1.599 1.599 1.599
1.599 4.797 4.797
4.797 1.599 4.797
4.797 4.797 1.599
1.599 1.599 4.797
1.599 4.797 1.599
4.797 1.599 1.599
4.797 4.797 4.797
```

Properties
Total magnetization in Bohr magnetons per cell: 0.00
SG: F-43m

---

Stability verdict: run w, ahead by 194 meV per atom

---

Run w
DFT (PBE) results for a relaxed structure of HfTlHg.

```
HfTlHg
1.0
6.815 0.000 0.000
0.000 6.815 0.000
0.000 0.000 6.815
Hf Tl Hg
4 4 4
Cartesian
0.000 0.000 0.000
0.000 3.407 3.407
3.407 0.000 3.407
3.407 3.407 0.000
1.704 1.704 1.704
1.704 5.111 5.111
5.111 1.704 5.111
5.111 5.111 1.704
1.704 1.704 5.111
1.704 5.111 1.704
5.111 1.704 1.704
5.111 5.111 5.111
```

Properties
Total magnetization in Bohr magnetons per cell: 0.00
SG: F-43m

---

Run x
DFT (PBE) results for a relaxed structure of HfTlHg.

```
HfTlHg
1.0
6.715 0.000 0.000
0.000 6.715 0.000
0.000 0.000 6.715
Hf Tl Hg
4 4 4
Cartesian
0.000 0.000 0.000
0.000 3.357 3.357
3.357 0.000 3.357
3.357 3.357 0.000
0.000 0.000 3.357
0.000 3.357 0.000
3.357 0.000 0.000
3.357 3.357 3.357
1.679 1.679 1.679
1.679 5.036 5.036
5.036 1.679 5.036
5.036 5.036 1.679
```

Properties
Total magnetization in Bohr magnetons per cell: 0.29
SG: F-43m

---

Stability verdict: run w, ahead by 90 meV per atom

---

Run w
DFT (PBE) results for a relaxed structure of Ho2Hf2O5.

```
Ho2Hf2O5
1.0
3.578 0.000 0.000
0.000 3.578 0.000
0.000 0.000 9.923
Ho Hf O
2 2 5
Cartesian
0.000 0.000 2.462
0.000 0.000 7.462
1.789 1.789 0.000
1.789 1.789 4.962
0.000 0.000 4.962
0.000 1.789 1.253
0.000 1.789 8.670
1.789 0.000 1.253
1.789 0.000 8.670
```

Properties
Total magnetization in Bohr magnetons per cell: 0.02
SG: P4/mmm

---

Run x
DFT (PBE) results for a relaxed structure of Ho2Hf2O5.

```
Ho2Hf2O5
1.0
4.064 0.000 0.000
0.000 4.064 0.000
0.000 0.000 7.342
Ho Hf O
2 2 5
Cartesian
0.000 0.000 0.000
0.000 0.000 3.671
2.032 2.032 1.602
2.032 2.032 5.740
0.000 2.032 1.916
0.000 2.032 5.427
2.032 0.000 1.916
2.032 0.000 5.427
2.032 2.032 3.671
```

Properties
Total magnetization in Bohr magnetons per cell: 0.00
SG: P4/mmm

---

Stability verdict: run w, ahead by 17 meV per atom

---

Run w
DFT (PBE) results for a relaxed structure of HoHfPO.

```
HoHfPO
1.0
4.081 0.000 0.000
0.000 4.081 0.000
0.000 0.000 7.927
Ho Hf P O
2 2 2 2
Cartesian
1.020 3.061 0.000
3.061 1.020 0.000
1.020 1.020 3.077
3.061 3.061 4.849
1.020 1.020 6.076
3.061 3.061 1.851
1.020 3.061 3.963
3.061 1.020 3.963
```

Properties
Total magnetization in Bohr magnetons per cell: 0.15
SG: P4/nmm

---

Run x
DFT (PBE) results for a relaxed structure of HoHfPO.

```
HoHfPO
1.0
4.112 0.000 0.000
0.000 4.112 0.000
0.000 0.000 8.423
Ho Hf P O
2 2 2 2
Cartesian
1.028 1.028 0.979
3.084 3.084 7.443
1.028 3.084 4.211
3.084 1.028 4.211
1.028 1.028 5.778
3.084 3.084 2.644
1.028 3.084 0.000
3.084 1.028 0.000
```

Properties
Total magnetization in Bohr magnetons per cell: 0.01
SG: P4/nmm

---

Run y
DFT (PBE) results for a relaxed structure of HoHfPO.

```
HoHfPO
1.0
3.890 0.000 0.000
0.000 7.279 0.000
0.000 0.000 5.644
Ho Hf P O
2 2 2 2
Cartesian
0.000 1.542 0.000
0.000 5.737 2.822
1.945 2.836 3.033
1.945 4.444 0.212
0.000 1.194 2.809
0.000 6.086 5.631
1.945 2.484 5.143
1.945 4.795 2.321
```

Properties
Total magnetization in Bohr magnetons per cell: 0.02
SG: Pmc2_1

---

Stability verdict: run x, ahead by 195 meV per atom

---

Run w
DFT (PBE) results for a relaxed structure of Ho3Hf3Sb2Os.

```
Ho3Hf3Sb2Os
1.0
7.880 0.000 0.000
-3.940 6.824 0.000
0.000 0.000 4.044
Ho Hf Sb Os
3 3 2 1
Cartesian
-2.370 4.105 0.000
1.570 2.720 0.000
4.740 0.000 0.000
-0.909 1.574 2.022
1.818 0.000 2.022
3.031 5.250 2.022
0.000 4.550 2.022
3.940 2.275 2.022
0.000 0.000 0.000
```

Properties
Total magnetization in Bohr magnetons per cell: 0.00
SG: P-62m

---

Run x
DFT (PBE) results for a relaxed structure of Ho3Hf3Sb2Os.

```
Ho3Hf3Sb2Os
1.0
8.007 0.000 0.000
-4.004 6.935 0.000
0.000 0.000 3.810
Ho Hf Sb Os
3 3 2 1
Cartesian
-1.004 1.738 0.000
2.007 0.000 0.000
3.000 5.196 0.000
-2.439 4.224 1.905
1.565 2.711 1.905
4.877 0.000 1.905
0.000 4.623 0.000
4.004 2.312 0.000
0.000 0.000 1.905
```

Properties
Total magnetization in Bohr magnetons per cell: 0.03
SG: P-62m

---

Stability verdict: run w, ahead by 279 meV per atom